Arrangement i

RbZn3Ni | PBE | relaxed

POSCAR file:
```
RbZn3Ni
1.0
4.8308 0.0000 0.0000
0.0000 4.8308 0.0000
0.0000 0.0000 4.8308
Rb Zn Ni
1 3 1
Cartesian
0.0000 0.0000 0.0000 Rb
0.0000 2.4154 2.4154 Zn
2.4154 0.0000 2.4154 Zn
2.4154 2.4154 0.0000 Zn
2.4154 2.4154 2.4154 Ni
```


Arrangement ii

RbZn3Ni | PBE | relaxed

POSCAR file:
```
RbZn3Ni
1.0
6.6140 0.0000 0.0000
0.0000 6.6140 0.0000
0.0000 0.0000 6.6140
Rb Zn Ni
1 3 1
Cartesian
0.0000 0.0000 0.0000 Rb
0.0000 0.0000 3.3070 Zn
0.0000 3.3070 0.0000 Zn
3.3070 0.0000 0.0000 Zn
3.3070 3.3070 3.3070 Ni
```


Which is most stable, and by how much? arrangement i, by 131.8 kJ/mol of atoms.


Arrangement i

Re5Ni | PBE | relaxed

POSCAR file:
```
Re5Ni
1.0
4.7672 0.0000 0.0000
-2.3836 4.1285 0.0000
0.0000 0.0000 4.3875
Re Ni
5 1
Cartesian
-1.6027 2.7760 0.0000 Re
0.7809 1.3525 0.0000 Re
0.0000 2.7523 2.1938 Re
2.3836 1.3762 2.1938 Re
3.2054 0.0000 0.0000 Re
0.0000 0.0000 2.1938 Ni
```


Arrangement ii

Re5Ni | PBE | relaxed

POSCAR file:
```
Re5Ni
1.0
2.7414 0.0000 0.0000
0.0000 2.7414 0.0000
0.0000 0.0000 11.5263
Re Ni
5 1
Cartesian
0.0000 0.0000 0.0000 Re
0.0000 0.0000 3.9546 Re
0.0000 0.0000 7.5717 Re
1.3707 1.3707 1.9797 Re
1.3707 1.3707 9.5466 Re
1.3707 1.3707 5.7631 Ni
```


Which is most stable, and by how much? arrangement i, by 12.4 kJ/mol of atoms.


Arrangement i

Re4Ni5 | PBE | relaxed

POSCAR file:
```
Re4Ni5
1.0
7.2273 0.0000 0.0000
-3.6136 6.2590 0.0000
0.0000 0.0000 5.1219
Re Ni
8 10
Cartesian
0.0000 0.0000 0.0000 Re
0.0000 0.0000 2.5609 Re
-1.2270 2.1253 1.2805 Re
-2.3866 4.1337 3.8414 Re
2.4541 0.0000 1.2805 Re
1.2270 2.1253 3.8414 Re
4.7732 0.0000 3.8414 Re
2.3866 4.1337 1.2805 Re
-1.1902 2.0614 3.8414 Ni
-2.4235 4.1976 1.2805 Ni
2.3803 0.0000 3.8414 Ni
1.1902 2.0614 1.2805 Ni
0.0000 4.1727 0.0000 Ni
0.0000 4.1727 2.5609 Ni
3.6136 2.0863 0.0000 Ni
3.6136 2.0863 2.5609 Ni
4.8470 0.0000 1.2805 Ni
2.4235 4.1976 3.8414 Ni
```


Arrangement ii

Re4Ni5 | PBE | relaxed

POSCAR file:
```
Re4Ni5
1.0
-3.9204 3.9204 1.8774
3.9204 -3.9204 1.8774
3.9204 3.9204 -1.8774
Re Ni
4 5
Cartesian
2.5894 0.0000 0.0000 Re
5.2514 0.0000 0.0000 Re
0.0000 2.5894 0.0000 Re
0.0000 5.2514 0.0000 Re
0.0000 0.0000 0.0000 Ni
2.6228 2.6228 0.0000 Ni
1.2976 -1.2976 1.8774 Ni
-1.2976 1.2976 1.8774 Ni
1.2976 1.2976 1.8774 Ni
```


Which is most stable, and by how much? arrangement ii, by 16.2 kJ/mol of atoms.


Arrangement i

ReNi4 | PBE | relaxed

POSCAR file:
```
ReNi4
1.0
2.5685 0.0000 0.0000
0.0000 3.6304 0.0000
0.0000 0.0000 12.5469
Re Ni
2 8
Cartesian
0.0000 0.0000 0.0000 Re
1.2842 1.8152 6.2734 Re
0.0000 0.0000 2.5102 Ni
0.0000 0.0000 4.9980 Ni
0.0000 0.0000 7.5489 Ni
0.0000 0.0000 10.0367 Ni
1.2842 1.8152 1.2754 Ni
1.2842 1.8152 3.7632 Ni
1.2842 1.8152 8.7837 Ni
1.2842 1.8152 11.2714 Ni
```


Arrangement ii

ReNi4 | PBE | relaxed

POSCAR file:
```
ReNi4
1.0
4.2595 0.0000 0.0000
0.0000 7.4222 0.0000
0.0000 0.0000 4.1178
Re Ni
2 8
Cartesian
0.0000 0.0000 0.0000 Re
2.1298 3.7111 0.0000 Re
0.0409 2.4891 0.0000 Ni
0.7111 1.1434 2.0589 Ni
1.4187 4.8545 2.0589 Ni
2.0888 6.2002 0.0000 Ni
2.1707 1.2220 0.0000 Ni
2.8408 2.5677 2.0589 Ni
3.5485 6.2788 2.0589 Ni
4.2186 4.9331 0.0000 Ni
```


Which is most stable, and by how much? arrangement i, by 31.9 kJ/mol of atoms.


Arrangement i

ReNi4 | PBE | relaxed

POSCAR file:
```
ReNi4
1.0
5.6884 0.0000 0.0000
0.0000 5.6884 0.0000
0.0000 0.0000 3.5724
Re Ni
2 8
Cartesian
0.0000 0.0000 0.0000 Re
2.8442 2.8442 1.7862 Re
0.5814 3.9951 1.7862 Ni
1.1509 2.2628 0.0000 Ni
1.6933 0.5814 1.7862 Ni
2.2628 4.5376 0.0000 Ni
3.4256 1.1509 0.0000 Ni
3.9951 5.1070 1.7862 Ni
4.5376 3.4256 0.0000 Ni
5.1070 1.6933 1.7862 Ni
```


Arrangement ii

ReNi4 | PBE | relaxed

POSCAR file:
```
ReNi4
1.0
5.3863 0.0000 0.0000
0.0000 5.3863 0.0000
0.0000 0.0000 5.3863
Re Ni
2 8
Cartesian
0.0000 0.0000 0.0000 Re
2.6932 2.6932 2.6932 Re
1.3466 1.3466 1.3466 Ni
1.3466 1.3466 4.0397 Ni
1.3466 4.0397 1.3466 Ni
1.3466 4.0397 4.0397 Ni
4.0397 1.3466 1.3466 Ni
4.0397 1.3466 4.0397 Ni
4.0397 4.0397 1.3466 Ni
4.0397 4.0397 4.0397 Ni
```


Which is most stable, and by how much? arrangement i, by 96.3 kJ/mol of atoms.


Arrangement i

ReNi4 | PBE | relaxed

POSCAR file:
```
ReNi4
1.0
3.2807 0.0000 0.0000
0.0000 3.2807 0.0000
0.0000 0.0000 11.4124
Re Ni
2 8
Cartesian
0.0000 0.0000 0.0000 Re
1.6404 1.6404 5.7062 Re
0.0000 0.0000 4.5638 Ni
0.0000 0.0000 6.8486 Ni
0.0000 1.6404 2.8531 Ni
0.0000 1.6404 8.5593 Ni
1.6404 0.0000 2.8531 Ni
1.6404 0.0000 8.5593 Ni
1.6404 1.6404 1.1424 Ni
1.6404 1.6404 10.2700 Ni
```


Arrangement ii

ReNi4 | PBE | relaxed

POSCAR file:
```
ReNi4
1.0
4.4409 0.0000 0.0000
0.0000 4.4409 0.0000
0.0000 0.0000 4.4409
Re Ni
1 4
Cartesian
0.0000 0.0000 0.0000 Re
0.0000 0.0000 2.2205 Ni
0.0000 2.2205 0.0000 Ni
2.2205 0.0000 0.0000 Ni
2.2205 2.2205 2.2205 Ni
```


Which is most stable, and by how much? arrangement i, by 109.0 kJ/mol of atoms.


Arrangement i

Re3Ni5 | PBE | relaxed

POSCAR file:
```
Re3Ni5
1.0
7.3047 0.0000 0.0000
-3.6523 6.3260 0.0000
0.0000 0.0000 4.5059
Re Ni
6 10
Cartesian
-1.4979 2.5945 1.1265 Re
-2.1544 3.7316 3.3795 Re
2.9958 0.0000 1.1265 Re
1.4979 2.5945 3.3795 Re
4.3089 0.0000 3.3795 Re
2.1544 3.7316 1.1265 Re
-0.7106 1.2309 3.3795 Ni
-2.9417 5.0952 1.1265 Ni
1.4213 0.0000 3.3795 Ni
0.7106 1.2309 1.1265 Ni
0.0000 4.2174 0.0000 Ni
0.0000 4.2174 2.2530 Ni
3.6523 2.1087 0.0000 Ni
3.6523 2.1087 2.2530 Ni
5.8834 0.0000 1.1265 Ni
2.9417 5.0952 3.3795 Ni
```


Arrangement ii

Re3Ni5 | PBE | relaxed

POSCAR file:
```
Re3Ni5
1.0
7.3299 0.0000 0.0000
0.0000 7.5227 0.0000
0.0000 0.0000 3.6113
Re Ni
6 10
Cartesian
0.0000 0.0000 0.0000 Re
1.8017 3.7614 1.8056 Re
1.8632 0.0000 1.8056 Re
3.6649 3.7614 0.0000 Re
5.4667 0.0000 1.8056 Re
5.5281 3.7614 1.8056 Re
0.0000 1.9019 1.8056 Ni
0.0000 3.7614 0.0000 Ni
0.0000 5.6208 1.8056 Ni
1.8325 1.8807 0.0000 Ni
1.8325 5.6420 0.0000 Ni
3.6649 0.0000 0.0000 Ni
3.6649 1.8595 1.8056 Ni
3.6649 5.6632 1.8056 Ni
5.4974 1.8807 0.0000 Ni
5.4974 5.6420 0.0000 Ni
```


Which is most stable, and by how much? arrangement ii, by 24.5 kJ/mol of atoms.


Arrangement i

Re3Ni2 | PBE | relaxed

POSCAR file:
```
Re3Ni2
1.0
0.0000 6.4012 2.3158
4.5587 0.0000 2.3158
4.5587 6.4012 0.0000
Re Ni
6 4
Cartesian
0.0000 0.0000 0.0000 Re
2.2794 3.2006 1.1579 Re
4.1462 5.0847 2.1893 Re
4.9713 7.7177 2.1893 Re
7.2506 8.2854 3.3472 Re
6.4255 10.9184 3.3472 Re
4.8134 2.6037 2.0994 Ni
6.5834 5.8044 3.2573 Ni
4.3041 10.1987 2.0994 Ni
2.5340 6.9981 3.2573 Ni
```


Arrangement ii

Re3Ni2 | PBE | relaxed

POSCAR file:
```
Re3Ni2
1.0
2.7106 0.0000 0.0000
-1.3553 2.3475 0.0000
0.0000 0.0000 32.1406
Re Ni
9 6
Cartesian
0.0000 0.0000 0.0000 Re
0.0000 0.0000 6.4619 Re
0.0000 0.0000 25.6787 Re
0.0000 1.5650 14.9652 Re
0.0000 1.5650 21.4271 Re
0.0000 1.5650 27.8890 Re
1.3553 0.7825 4.2517 Re
1.3553 0.7825 10.7135 Re
1.3553 0.7825 17.1754 Re
0.0000 0.0000 12.8022 Ni
0.0000 0.0000 19.3384 Ni
0.0000 1.5650 2.0886 Ni
0.0000 1.5650 8.6249 Ni
1.3553 0.7825 23.5157 Ni
1.3553 0.7825 30.0520 Ni
```


Which is most stable, and by how much? arrangement ii, by 0.7 kJ/mol of atoms.